Entry 1:
## ZrAlRe2 (PBE-GGA)

Data for a relaxed ZrAlRe2 crystal.

Magnetization ... 0.00 μB/f.u.
ΔH_f (0 K) ... -0.01 eV/atom
DFT total energy ... -9.3102 eV/atom
Theoretical density ... 12.4 Mg/m³
DOS at the Fermi energy ... 1.055 states/eV/atom

CIF file:
```
data_ZrAlRe2
_cell_length_a 6.398
_cell_length_b 6.398
_cell_length_c 6.398
_cell_angle_alpha 90.00
_cell_angle_beta 90.00
_cell_angle_gamma 90.00
_space_group_name_H-M_alt 'F -4 3 m'
_space_group_IT_number 216
_space_group_name_Hall 'F -4 2 3'
loop_
_atom_site_label
_atom_site_fract_x
_atom_site_fract_y
_atom_site_fract_z
Zr1 0.000 0.000 0.000
Al1 0.250 0.250 0.750
Re1 0.000 0.000 0.500
Re2 0.250 0.250 0.250
```

Entry 2:
## Pm4MgNi (PBE-GGA)

Data for a relaxed Pm4MgNi crystal.

Magnetization ... 0.00 μB/f.u.
ΔH_f (0 K) ... 0.13 eV/atom
DFT total energy ... -4.2655 eV/atom
Theoretical density ... 5.8 Mg/m³
Energy relative to the lowest polymorph listed for this composition ... 0.300 eV/atom
DOS at the Fermi energy ... 1.062 states/eV/atom

CIF file:
```
data_Pm4MgNi
_cell_length_a 4.880
_cell_length_b 4.880
_cell_length_c 7.988
_cell_angle_alpha 90.00
_cell_angle_beta 90.00
_cell_angle_gamma 90.00
_space_group_name_H-M_alt 'P 4/m m m'
_space_group_IT_number 123
_space_group_name_Hall '-P 4 2'
loop_
_atom_site_label
_atom_site_fract_x
_atom_site_fract_y
_atom_site_fract_z
Pm1 0.000 0.500 0.207
Mg1 0.000 0.000 0.500
Ni1 0.500 0.500 0.000
```

Entry 3:
## Mn2NiAs (PBE-GGA)

Data for a relaxed Mn2NiAs crystal.

Magnetization ... 5.77 μB/f.u.
ΔH_f (0 K) ... 0.00 eV/atom
DFT total energy ... -7.1938 eV/atom
Theoretical density ... 7.8 Mg/m³
DOS at the Fermi energy ... 0.851 states/eV/atom

CIF file:
```
data_Mn2NiAs
_cell_length_a 5.087
_cell_length_b 6.377
_cell_length_c 3.182
_cell_angle_alpha 90.00
_cell_angle_beta 90.00
_cell_angle_gamma 90.00
_space_group_name_H-M_alt 'C m m m'
_space_group_IT_number 65
_space_group_name_Hall '-C 2 2'
loop_
_atom_site_label
_atom_site_fract_x
_atom_site_fract_y
_atom_site_fract_z
Mn1 0.250 0.250 0.000
Ni1 0.000 0.000 0.500
As1 0.000 0.500 0.500
```

Entry 4:
## TmPa2Si3Pt4 (PBE-GGA)

Data for a relaxed TmPa2Si3Pt4 crystal.

Magnetization ... 0.00 μB/f.u.
DFT total energy ... -7.2871 eV/atom
Theoretical density ... 13.1 Mg/m³
DOS at the Fermi energy ... 0.828 states/eV/atom

CIF file:
```
data_TmPa2Si3Pt4
_cell_length_a 4.181
_cell_length_b 4.181
_cell_length_c 10.823
_cell_angle_alpha 90.00
_cell_angle_beta 90.00
_cell_angle_gamma 90.00
_space_group_name_H-M_alt 'P -4 m 2'
_space_group_IT_number 115
_space_group_name_Hall 'P -4 -2'
loop_
_atom_site_label
_atom_site_fract_x
_atom_site_fract_y
_atom_site_fract_z
Tm1 0.000 0.000 0.000
Pa1 0.000 0.500 0.730
Si1 0.000 0.500 0.378
Si2 0.500 0.500 0.000
Pt1 0.000 0.000 0.500
Pt2 0.000 0.500 0.161
Pt3 0.500 0.500 0.500
```